i | # NdSm5Sc, optimized geometry, DFT PBE-GGA
data_NdSm5Sc
_chemical_formula_sum 'Nd1 Sm5 Sc1'
_cell_length_a 5.303
_cell_length_b 5.303
_cell_length_c 8.613
_cell_angle_alpha 90.00
_cell_angle_beta 90.00
_cell_angle_gamma 90.00
_space_group_name_H-M_alt 'P 4/m m m'
_space_group_IT_number 123
_space_group_name_Hall '-P 4 2'
loop_
_atom_site_label
_atom_site_fract_x
_atom_site_fract_y
_atom_site_fract_z
Nd1 0.000 0.000 0.000
Sm1 0.000 0.500 0.288
Sm2 0.500 0.500 0.000
Sc1 0.000 0.000 0.500
# Volume   34.6 Å³ per atom

---

ii | # NdSm5Sc, optimized geometry, DFT PBE-GGA
data_NdSm5Sc
_chemical_formula_sum 'Nd2 Sm10 Sc2'
_cell_length_a 7.919
_cell_length_b 11.728
_cell_length_c 6.109
_cell_angle_alpha 90.00
_cell_angle_beta 90.00
_cell_angle_gamma 90.00
_space_group_name_H-M_alt 'I m m 2'
_space_group_IT_number 44
loop_
_space_group_symop_operation_xyz
'x,y,z'
'-x,-y,z'
'-x,y,z'
'x,-y,z'
'x+1/2,y+1/2,z+1/2'
'-x+1/2,-y+1/2,z+1/2'
'-x+1/2,y+1/2,z+1/2'
'x+1/2,-y+1/2,z+1/2'
loop_
_atom_site_label
_atom_site_fract_x
_atom_site_fract_y
_atom_site_fract_z
Nd1 0.000 0.000 0.000
Sm1 0.000 0.254 0.994
Sm2 0.000 0.500 0.304
Sm3 0.182 0.000 0.500
Sc1 0.000 0.500 0.777
# Volume   40.5 Å³ per atom

---

Most stable one: i, least stable one: ii.

---

i | # Nd6SmSc, optimized geometry, DFT PBE-GGA
data_Nd6SmSc
_chemical_formula_sum 'Nd12 Sm2 Sc2'
_cell_length_a 9.068
_cell_length_b 7.236
_cell_length_c 9.325
_cell_angle_alpha 90.00
_cell_angle_beta 105.78
_cell_angle_gamma 90.00
_space_group_name_H-M_alt 'C 1 2/m 1'
_space_group_IT_number 12
loop_
_space_group_symop_operation_xyz
'x,y,z'
'-x,-y,-z'
'-x,y,-z'
'x,-y,z'
'x+1/2,y+1/2,z'
'-x+1/2,-y+1/2,-z'
'-x+1/2,y+1/2,-z'
'x+1/2,-y+1/2,z'
loop_
_atom_site_label
_atom_site_fract_x
_atom_site_fract_y
_atom_site_fract_z
Nd1 0.134 0.000 0.426
Nd2 0.204 0.242 0.794
Sm1 0.000 0.000 0.000
Sc1 0.000 0.500 0.500
# Volume   36.8 Å³ per atom

---

ii | # Nd6SmSc, optimized geometry, DFT PBE-GGA
data_Nd6SmSc
_chemical_formula_sum 'Nd6 Sm1 Sc1'
_cell_length_a 5.121
_cell_length_b 5.121
_cell_length_c 10.247
_cell_angle_alpha 90.00
_cell_angle_beta 90.00
_cell_angle_gamma 90.00
_space_group_name_H-M_alt 'P 4/m m m'
_space_group_IT_number 123
_space_group_name_Hall '-P 4 2'
loop_
_atom_site_label
_atom_site_fract_x
_atom_site_fract_y
_atom_site_fract_z
Nd1 0.000 0.000 0.000
Nd2 0.000 0.000 0.500
Nd3 0.000 0.500 0.244
Sm1 0.500 0.500 0.500
Sc1 0.500 0.500 0.000
# Volume   33.6 Å³ per atom

---

Most stable one: ii, least stable one: i.

---

i | # Nd3Sm3Sc, optimized geometry, DFT PBE-GGA
data_Nd3Sm3Sc
_chemical_formula_sum 'Nd18 Sm18 Sc6'
_cell_length_a 8.6785
_cell_length_b 8.6785
_cell_length_c 21.9830
_cell_angle_alpha 90.00
_cell_angle_beta 90.00
_cell_angle_gamma 120.00
_space_group_name_H-M_alt 'R -3'
_space_group_IT_number 148
_space_group_name_Hall '-R 3'
loop_
_atom_site_label
_atom_site_fract_x
_atom_site_fract_y
_atom_site_fract_z
Nd1 0.0099 0.7602 0.0568
Sm1 0.0512 0.6052 0.8819
Sc1 0.0000 0.0000 0.3424
# Volume   34.1 Å³ per atom

---

ii | # Nd3Sm3Sc, optimized geometry, DFT PBE-GGA
data_Nd3Sm3Sc
_chemical_formula_sum 'Nd6 Sm6 Sc2'
_cell_length_a 9.6402
_cell_length_b 9.6402
_cell_length_c 5.7854
_cell_angle_alpha 90.00
_cell_angle_beta 90.00
_cell_angle_gamma 120.00
_space_group_name_H-M_alt 'P 63/m'
_space_group_IT_number 176
_space_group_name_Hall '-P 6c'
loop_
_atom_site_label
_atom_site_fract_x
_atom_site_fract_y
_atom_site_fract_z
Nd1 0.0526 0.2448 0.2500
Sm1 0.0972 0.4810 0.7500
Sc1 0.3333 0.6667 0.2500
# Volume   33.3 Å³ per atom

---

Most stable one: ii, least stable one: i.

---

i | # TbNdSmSc, optimized geometry, DFT PBE-GGA
data_TbNdSmSc
_chemical_formula_sum 'Tb2 Nd2 Sm2 Sc2'
_cell_length_a 12.266
_cell_length_b 5.704
_cell_length_c 3.787
_cell_angle_alpha 90.00
_cell_angle_beta 107.86
_cell_angle_gamma 90.00
_space_group_name_H-M_alt 'C 1 m 1'
_space_group_IT_number 8
loop_
_space_group_symop_operation_xyz
'x,y,z'
'x,-y,z'
'x+1/2,y+1/2,z'
'x+1/2,-y+1/2,z'
loop_
_atom_site_label
_atom_site_fract_x
_atom_site_fract_y
_atom_site_fract_z
Tb1 0.000 0.000 0.000
Nd1 0.458 0.000 0.456
Sm1 0.232 0.500 0.252
Sc1 0.227 0.000 0.734
# Volume   31.5 Å³ per atom

---

ii | # TbNdSmSc, optimized geometry, DFT PBE-GGA
data_TbNdSmSc
_chemical_formula_sum 'Tb4 Nd4 Sm4 Sc4'
_cell_length_a 7.945
_cell_length_b 7.945
_cell_length_c 7.945
_cell_angle_alpha 90.00
_cell_angle_beta 90.00
_cell_angle_gamma 90.00
_space_group_name_H-M_alt 'F -4 3 m'
_space_group_IT_number 216
_space_group_name_Hall 'F -4 2 3'
loop_
_atom_site_label
_atom_site_fract_x
_atom_site_fract_y
_atom_site_fract_z
Tb1 0.000 0.000 0.000
Nd1 0.250 0.250 0.750
Sm1 0.250 0.250 0.250
Sc1 0.000 0.000 0.500
# Volume   31.3 Å³ per atom

---

Most stable one: i, least stable one: ii.